# 1
# ZnCd3Ir

ZnCd3Ir after structural relaxation (PBE, the Alexandria database).

It has space group Pm-3m (No. 221), with a = 5.224 Å, b = 5.224 Å, c = 5.224 Å, α = 90.00°, β = 90.00° and γ = 90.00°. The distinct sites, in fractional coordinates, are Zn at (0.000, 0.000, 0.000), Cd at (0.000, 0.500, 0.500) and Ir at (0.500, 0.500, 0.500).

As for the crystal system: cubic. The formation energy comes out at 2.18 eV/f.u.



# 2
# Np2InBi4

Np2InBi4 after structural relaxation (PBE, the Alexandria database).

It has space group Cmmm (No. 65), with a = 8.793 Å, b = 9.975 Å, c = 4.852 Å, α = 90.00°, β = 90.00° and γ = 90.00°. The distinct sites, in fractional coordinates, are Np at (0.000, 0.225, 0.000), In at (0.000, 0.000, 0.500), Bi at (0.219, 0.500, 0.000) and Bi at (0.250, 0.250, 0.500).

As for the crystal system: orthorhombic. The formation energy comes out at 0.21 eV/f.u.



no.,energy above the most stable polymorph in this dataset (meV/atom)
1,0
2,0